Entry 1:
The following is a GGA-PBE calculation of Zr2ZnBr after structural relaxation, from the Alexandria database.

a = 3.290 Å, b = 4.217 Å, c = 12.790 Å
α = 90.00°, β = 90.00°, γ = 90.00°
Space group Imm2 (No. 44)
One atom of each set of equivalent atoms:
1 Zr 0.000 0.000 0.000 x2
2 Zr 0.000 0.500 0.290 x2
3 Zn 0.000 0.500 0.854 x2
4 Br 0.000 0.000 0.603 x2

Output
Formation energy without anion corrections ... -0.17 eV/atom
Offset from the most stable computed form ... 130 meV per atom
Magnetization ... 0.00 μB/f.u.
Density of states at the Fermi level ... 0.486 states/eV/atom

Entry 2:
The following is a GGA-PBE calculation of ZrAgPd4 after structural relaxation, from the Alexandria database.

a = 7.432 Å, b = 7.432 Å, c = 7.432 Å
α = 90.00°, β = 90.00°, γ = 90.00°
Space group F-43m (No. 216)
One atom of each set of equivalent atoms:
1 Zr 0.000 0.000 0.000 x4
2 Ag 0.250 0.250 0.750 x4
3 Pd 0.125 0.125 0.375 x16

Output
ΔH_f (0 K) ... -386 meV per atom
Offset from the most stable computed form ... 53 meV per atom
Magnetization ... 0.00 μB/f.u.
Density of states at the Fermi level ... 0.645 states/eV/atom

Entry 3:
The following is a GGA-PBE calculation of Sr2ScTe after structural relaxation, from the Alexandria database.

a = 8.122 Å, b = 8.122 Å, c = 8.122 Å
α = 90.00°, β = 90.00°, γ = 90.00°
Space group F-43m (No. 216)
One atom of each set of equivalent atoms:
1 Sr 0.000 0.000 0.000 x4
2 Sr 0.250 0.250 0.250 x4
3 Sc 0.250 0.250 0.750 x4
4 Te 0.000 0.000 0.500 x4

Output
Formation energy without anion corrections ... -0.07 eV/atom
Magnetization ... 0.02 μB/f.u.
Density of states at the Fermi level ... 1.276 states/eV/atom

Entry 4:
The following is a GGA-PBE calculation of Al2TeCl after structural relaxation, from the Alexandria database.

a = 5.019 Å, b = 5.019 Å, c = 3.676 Å
α = 90.00°, β = 90.00°, γ = 90.00°
Space group P4/mmm (No. 123)
One atom of each set of equivalent atoms:
1 Al 0.000 0.500 0.000 x2
2 Te 0.000 0.000 0.500 x1
3 Cl 0.500 0.500 0.500 x1

Output
Formation energy without anion corrections ... -0.03 eV/atom
Offset from the most stable computed form ... 401 meV per atom
Magnetization ... 0.00 μB/f.u.
Density of states at the Fermi level ... 0.281 states/eV/atom

magnetization of number 2 (ZrAgPd4)?
0.00 μB/f.u.

The highest density of states at the Fermi level belongs to which entry?
Sr2ScTe